Below is a relaxed structure of Tb4TmLu, with properties calculated at the PBE-GGA level. Values from VASP.

Output
space group: F-43m
magnetic moment: 0.0 μB per formula unit
calculated total energy: -4.329 eV per atom

Geometry as Quantum ESPRESSO input:
```
&SYSTEM
  ibrav = 0, nat = 6, ntyp = 3
/
ATOMIC_SPECIES
Lu 174.97 Lu.upf
Tb 158.93 Tb.upf
Tm 168.93 Tm.upf
CELL_PARAMETERS angstrom
-3.222 5.311 -1.934
-5.827 1.377 2.546
-0.671 5.051 4.046
ATOMIC_POSITIONS angstrom
Lu 0.000 0.000 0.000
Tb -4.464 4.681 3.878
Tb -6.075 7.336 2.911
Tm -2.430 2.935 1.164
Tb -3.162 6.648 1.638
Tb -5.740 4.811 0.888
```